A relaxed V2NiF2 crystal. Source: the Alexandria database, functional PBE+U.

abc: 5.995 5.995 5.995
angles: 146.68 146.68 47.83
Atoms (fractional coordinates):
V (0.122, 0.122, 0.000)
V (0.878, 0.878, 0.000)
Ni (0.500, 0.500, 0.000)
F (0.250, 0.750, 0.500)
F (0.750, 0.250, 0.500)

For the energy above the most stable polymorph in this dataset, the calculation gives 0.0 meV/atom. Its density of states at the Fermi level is 0.246 states/eV per atom. As for the total magnetization: 4.96 μB/cell. The total energy is -4.900 eV/atom.